(1)
Below is a relaxed structure of NdNi2PN4, with properties calculated at the PBE-GGA level.

Structure (extended XYZ):
```
8
Lattice="-2.591 2.591 3.223 2.591 -2.591 3.223 2.591 2.591 -3.223" Properties=species:S:1:pos:R:3 pbc="T T T"
Nd 0.000 0.000 0.000
Ni 2.591 0.000 1.611
Ni 0.000 2.591 1.611
P 0.000 0.000 3.223
N 1.636 1.636 -0.990
N 0.955 -0.955 4.213
N 0.955 0.955 2.233
N -0.955 0.955 4.213
```

Summary:
- SG = I-42m (121)
- magnetization (μB/f.u.) = 0.000
- uncorrected formation energy (eV per formula unit) = -3.93
- density of states at the Fermi level (states/eV per cell) = 2.12

***

(2)
Below is a relaxed structure of NdPa2NiN4, with properties calculated at the PBE-GGA level.

Structure (extended XYZ):
```
16
Lattice="1.752 -5.738 0.000 1.752 5.738 0.000 0.000 0.000 11.454" Properties=species:S:1:pos:R:3 pbc="T T T"
Nd 1.752 4.537 8.591
Nd 1.752 -4.537 2.864
Pa 1.752 1.506 6.422
Pa 1.752 1.506 10.760
Pa 1.752 -1.506 0.695
Pa 1.752 -1.506 5.032
Ni 1.752 3.852 2.864
Ni 1.752 -3.852 8.591
N 0.000 0.000 0.000
N 0.000 0.000 5.727
N 1.752 2.637 1.279
N 1.752 2.637 4.448
N 1.752 0.640 8.591
N 1.752 -0.640 2.864
N 1.752 -2.637 7.007
N 1.752 -2.637 10.175
```

Summary:
- SG = Cmcm (63)
- magnetization (μB/f.u.) = 0.000
- uncorrected formation energy (eV per formula unit) = -10.76
- density of states at the Fermi level (states/eV per cell) = 5.99

***

(3)
Below is a relaxed structure of Nd2PaNiN4, with properties calculated at the PBE-GGA level.

Structure (extended XYZ):
```
8
Lattice="-3.067 3.067 2.982 3.067 -3.067 2.982 3.067 3.067 -2.982" Properties=species:S:1:pos:R:3 pbc="T T T"
Nd 3.067 0.000 0.000
Nd 0.000 3.067 0.000
Pa 0.000 0.000 0.000
Ni 0.000 0.000 2.982
N 1.978 1.978 -1.336
N 1.089 1.089 1.646
N 1.089 -1.089 4.318
N -1.089 1.089 4.318
```

Summary:
- SG = I-42m (121)
- magnetization (μB/f.u.) = 1.349
- uncorrected formation energy (eV per formula unit) = -4.63
- density of states at the Fermi level (states/eV per cell) = 4.77

***

(4)
Below is a relaxed structure of NdPa2NiN5, with properties calculated at the PBE-GGA level.

Structure (extended XYZ):
```
18
Lattice="1.729 -7.036 0.000 1.729 7.036 0.000 0.000 0.000 9.988" Properties=species:S:1:pos:R:3 pbc="T T T"
Nd 1.729 4.169 4.994
Nd 1.729 -4.169 0.000
Pa 1.729 5.730 1.908
Pa 1.729 5.238 8.042
Pa 1.729 -5.238 3.047
Pa 1.729 -5.730 6.902
Ni 1.729 0.282 9.709
Ni 1.729 -0.282 4.715
N 1.729 6.312 5.986
N 1.729 3.070 2.218
N 1.729 1.992 8.619
N 1.729 1.691 5.307
N 1.729 0.284 2.917
N 1.729 -0.284 7.911
N 1.729 -1.691 0.313
N 1.729 -1.992 3.625
N 1.729 -3.070 7.212
N 1.729 -6.312 0.992
```

Summary:
- SG = Cmc2_1 (36)
- magnetization (μB/f.u.) = 0.000
- uncorrected formation energy (eV per formula unit) = -8.91
- density of states at the Fermi level (states/eV per cell) = 1.90

***

(5)
Below is a relaxed structure of NdPuNiN3, with properties calculated at the PBE-GGA level.

Structure (extended XYZ):
```
12
Lattice="7.088 0.000 0.000 0.000 3.426 0.000 -1.349 0.000 7.123" Properties=species:S:1:pos:R:3 pbc="T T T"
Nd 0.966 0.856 1.515
Nd 4.772 2.569 5.609
Pu 1.282 2.569 5.893
Pu 4.457 0.856 1.230
Ni -0.112 0.856 4.131
Ni 5.851 2.569 2.992
N -0.235 0.856 6.140
N 0.662 2.569 3.564
N 2.865 2.569 0.997
N 2.873 0.856 6.126
N 5.076 0.856 3.560
N 5.974 2.569 0.983
```

Summary:
- SG = P2_1/m (11)
- magnetization (μB/f.u.) = 3.253
- uncorrected formation energy (eV per formula unit) = -4.90
- density of states at the Fermi level (states/eV per cell) = 12.25

***

(6)
Below is a relaxed structure of NdNi2SnN, with properties calculated at the PBE-GGA level.

Structure (extended XYZ):
```
10
Lattice="1.816 -6.143 0.000 1.816 6.143 0.000 0.000 0.000 7.222" Properties=species:S:1:pos:R:3 pbc="T T T"
Nd 1.816 5.802 5.417
Nd 1.816 -5.802 1.806
Ni 1.816 1.840 3.944
Ni 1.816 1.840 6.890
Ni 1.816 -1.840 0.333
Ni 1.816 -1.840 3.279
Sn 1.816 3.220 1.806
Sn 1.816 -3.220 5.417
N 1.816 0.000 0.000
N 1.816 0.000 3.611
```

Summary:
- SG = Cmcm (63)
- magnetization (μB/f.u.) = 0.000
- uncorrected formation energy (eV per formula unit) = -2.93
- density of states at the Fermi level (states/eV per cell) = 6.01

***

(7)
Below is a relaxed structure of Nd2Tc2NiN6, with properties calculated at the PBE-GGA level.

Structure (extended XYZ):
```
11
Lattice="2.942 1.698 5.164 -2.942 1.698 5.164 0.000 -3.397 5.164" Properties=species:S:1:pos:R:3 pbc="T T T"
Nd 0.000 0.000 3.174
Nd 0.000 0.000 12.319
Tc 0.000 0.000 6.434
Tc 0.000 0.000 9.059
Ni 0.000 0.000 0.000
N -1.572 -0.908 9.048
N 0.000 -1.815 6.445
N -1.572 0.908 6.445
N 1.572 -0.908 9.048
N 0.000 1.815 9.048
N 1.572 0.908 6.445
```

Summary:
- SG = R-3m (166)
- magnetization (μB/f.u.) = 0.000
- uncorrected formation energy (eV per formula unit) = -1.70
- density of states at the Fermi level (states/eV per cell) = 1.69

***

(8)
Below is a relaxed structure of NdZr2NiN4, with properties calculated at the PBE-GGA level.

Structure (extended XYZ):
```
16
Lattice="1.642 -5.535 0.000 1.642 5.535 0.000 0.000 0.000 11.163" Properties=species:S:1:pos:R:3 pbc="T T T"
Nd 1.642 4.342 8.372
Nd 1.642 -4.342 2.791
Zr 1.642 1.469 6.196
Zr 1.642 1.469 10.549
Zr 1.642 -1.469 0.614
Zr 1.642 -1.469 4.967
Ni 1.642 3.816 2.791
Ni 1.642 -3.816 8.372
N 0.000 0.000 0.000
N 0.000 0.000 5.581
N 1.642 2.571 1.264
N 1.642 2.571 4.317
N 1.642 0.648 8.372
N 1.642 -0.648 2.791
N 1.642 -2.571 6.846
N 1.642 -2.571 9.899
```

Summary:
- SG = Cmcm (63)
- magnetization (μB/f.u.) = 0.000
- uncorrected formation energy (eV per formula unit) = -9.97
- density of states at the Fermi level (states/eV per cell) = 5.33

***

(9)
Below is a relaxed structure of NdNp2N6, with properties calculated at the PBE-GGA level.

Structure (extended XYZ):
```
9
Lattice="5.806 0.000 0.000 -2.903 5.028 0.000 0.000 0.000 4.743" Properties=species:S:1:pos:R:3 pbc="T T T"
Nd 0.000 0.000 0.000
Np 0.000 3.352 2.371
Np 2.903 1.676 2.371
N -1.060 1.837 1.393
N -1.842 3.191 3.350
N 2.121 0.000 1.393
N 1.060 1.837 3.350
N 3.685 0.000 3.350
N 1.842 3.191 1.393
```

Summary:
- SG = P-31m (162)
- magnetization (μB/f.u.) = 0.000
- uncorrected formation energy (eV per formula unit) = -5.66
- density of states at the Fermi level (states/eV per cell) = 3.13